[1]
Crystalline TiInAgPd at its relaxed geometry. Source: Alexandria via LeMat-Bulk, functional GGA-PBE.

a b c (Å): 4.6261 4.6261 4.6261
angles (deg): 60.00 60.00 60.00
Closest atoms and distances in Å follow each position.
Sites, in units of the cell vectors:
Ti: 0.2500 0.2500 0.2500  4 Pd 2.83, 4 Ag 2.83
Pd: 0.0000 0.0000 0.0000  4 In 2.83, 4 Ti 2.83
Ag: 0.5000 0.5000 0.5000  4 In 2.83, 4 Ti 2.83
In: 0.7500 0.7500 0.7500  4 Pd 2.83, 4 Ag 2.83

Properties
As for the symmetry: F-43m. For the formation energy, the calculation gives -0.293 eV per atom. For the uncorrected energy, the calculation gives -4.963 eV/atom.



[2]
Crystalline UInAgPd at its relaxed geometry. Source: Alexandria via LeMat-Bulk, functional GGA-PBE.

a b c (Å): 4.9110 4.9110 4.9110
angles (deg): 60.00 60.00 60.00
Closest atoms and distances in Å follow each position.
Sites, in units of the cell vectors:
U: 0.7500 0.7500 0.7500  4 Pd 3.01, 4 Ag 3.01
Pd: 0.5000 0.5000 0.5000  4 In 3.01, 4 U 3.01
Ag: 0.0000 0.0000 0.0000  4 U 3.01, 4 In 3.01
In: 0.2500 0.2500 0.2500  4 Ag 3.01, 4 Pd 3.01

Properties
As for the symmetry: F-43m. For the formation energy, the calculation gives -0.046 eV per atom. For the uncorrected energy, the calculation gives -5.564 eV/atom.



[3]
Crystalline YInAgPd at its relaxed geometry. Source: Alexandria via LeMat-Bulk, functional GGA-PBE.

a b c (Å): 4.8853 4.8853 4.8853
angles (deg): 60.00 60.00 60.00
Closest atoms and distances in Å follow each position.
Sites, in units of the cell vectors:
Y: 0.7500 0.7500 0.7500  4 Pd 2.99, 4 Ag 2.99
Pd: 0.5000 0.5000 0.5000  4 In 2.99, 4 Y 2.99
Ag: 0.0000 0.0000 0.0000  4 In 2.99, 4 Y 2.99
In: 0.2500 0.2500 0.2500  4 Pd 2.99, 4 Ag 2.99

Properties
As for the symmetry: F-43m. For the formation energy, the calculation gives -0.567 eV per atom. For the uncorrected energy, the calculation gives -4.878 eV/atom.



[4]
Crystalline Zn2In2AgPd5 at its relaxed geometry. Source: Alexandria via LeMat-Bulk, functional GGA-PBE.

a b c (Å): 3.8482 9.4133 9.4133
angles (deg): 90.00 90.00 90.00
Closest atoms and distances in Å follow each position.
Sites, in units of the cell vectors:
Zn: 0.0000 0.1252 0.6252  6 Pd 2.55-2.57, 3 In 2.69-2.84
Zn: 0.0000 0.8748 0.3748  6 Pd 2.55-2.57, 3 In 2.69-2.84
Zn: 0.0000 0.6252 0.8748  6 Pd 2.55-2.57, 3 In 2.69-2.84
Zn: 0.0000 0.3748 0.1252  6 Pd 2.55-2.57, 3 In 2.69-2.84
In: 0.0000 0.6730 0.1730  3 Zn 2.69-2.84, 6 Pd 2.98-3.00
In: 0.0000 0.3270 0.8270  3 Zn 2.69-2.84, 6 Pd 2.98-3.00
In: 0.0000 0.1730 0.3270  3 Zn 2.69-2.84, 6 Pd 2.98-3.00
In: 0.0000 0.8270 0.6730  3 Zn 2.69-2.84, 6 Pd 2.98-3.00
Ag: 0.0000 0.0000 0.0000  8 Pd 2.80
Ag: 0.0000 0.5000 0.5000  8 Pd 2.80
Pd: 0.5000 0.1977 0.0863  2 Zn 2.57, 2 Ag 2.80, 3 Pd 2.87
Pd: 0.5000 0.8023 0.9137  2 Zn 2.57, 2 Ag 2.80, 3 Pd 2.87
Pd: 0.5000 0.0863 0.8023  2 Zn 2.57, 2 Ag 2.80, 3 Pd 2.87
Pd: 0.5000 0.6977 0.4137  2 Zn 2.57, 2 Ag 2.80, 3 Pd 2.87
Pd: 0.5000 0.9137 0.1977  2 Zn 2.57, 2 Ag 2.80, 3 Pd 2.87
Pd: 0.5000 0.3023 0.5863  2 Zn 2.57, 2 Ag 2.80, 3 Pd 2.87
Pd: 0.5000 0.5863 0.6977  2 Zn 2.57, 2 Ag 2.80, 3 Pd 2.87
Pd: 0.5000 0.4137 0.3023  2 Zn 2.57, 2 Ag 2.80, 3 Pd 2.87
Pd: 0.5000 0.5000 0.0000  4 Zn 2.55
Pd: 0.5000 0.0000 0.5000  4 Zn 2.55

Properties
As for the symmetry: P4/mbm. For the formation energy, the calculation gives -0.305 eV per atom. For the uncorrected energy, the calculation gives -3.989 eV/atom.